Entry 1:
Compound: NdPtAu
Source: OQMD via LeMat-Bulk
Functional: PBE
Structure: relaxed

Structure (extended XYZ):
```
3
Lattice="-1.2502 -0.8188 4.4783 0.4375 3.4111 3.2344 -3.8505 2.0629 1.7907" Properties=species:S:1:pos:R:3 pbc="T T T"
Au -1.1658 1.1638 2.3758
Nd -3.4974 3.4914 7.1275
Pt 0.0000 0.0000 0.0000
```

Computed properties:
Space group: F-43m (216)
E_form in eV/atom: -0.80

Entry 2:
Compound: HoTmH2I4
Source: OQMD via LeMat-Bulk
Functional: PBE
Structure: relaxed

Structure (extended XYZ):
```
8
Lattice="3.9608 0.0000 0.0000 -1.9804 3.4302 0.0000 0.0000 0.0000 16.5674" Properties=species:S:1:pos:R:3 pbc="T T T"
H 1.9804 1.1434 0.0000
H 0.0000 2.2868 8.2837
Ho 0.0000 0.0000 0.0000
I 0.0000 2.2868 2.1044
I 1.9804 1.1434 6.1853
I 1.9804 1.1434 10.3821
I 0.0000 2.2868 14.4630
Tm 0.0000 0.0000 8.2837
```

Computed properties:
Space group: P-6m2 (187)

no.,E (eV per atom)
1,-5.49
2,-3.91